[1]
Compound: Zr2SnC
Source: the Open Quantum Materials Database
Functional: PBE
Structure: optimized geometry

Calculated values
**E**: -66.919 eV/cell
**Crystal system**: hexagonal

a b c (Å): 3.3785 3.3785 14.7534
angles (deg): 90.00 90.00 120.00
With the nearest neighbours (Å) after each atom.
Atoms (fractional coordinates):
C 0.0000 0.0000 0.2492  6 Zr 2.32
C 0.0000 0.0000 0.7508  6 Zr 2.32
Sn 0.3333 0.6667 0.0000  6 Zr 3.11, 6 Sn 3.38
Sn 0.6667 0.3333 0.5000  6 Zr 3.13, 6 Sn 3.38
Zr 0.6667 0.3333 0.1644  3 C 2.32
Zr 0.3333 0.6667 0.3344  3 C 2.32
Zr 0.3333 0.6667 0.6656  3 C 2.32
Zr 0.6667 0.3333 0.8356  3 C 2.32

[2]
Compound: Lu2TlCo
Source: the Open Quantum Materials Database
Functional: PBE
Structure: optimized geometry

Calculated values
**E**: -18.199 eV/cell
**Crystal system**: cubic

a b c (Å): 4.8408 4.8408 4.8408
angles (deg): 60.00 60.00 60.00
With the nearest neighbours (Å) after each atom.
Atoms (fractional coordinates):
Co 0.2500 0.2500 0.2500  4 Tl 2.96, 4 Lu 2.96
Lu 0.0000 0.0000 0.0000  4 Co 2.96, 4 Lu 2.96
Lu 0.7500 0.7500 0.7500  4 Tl 2.96, 4 Lu 2.96
Tl 0.5000 0.5000 0.5000  4 Co 2.96, 4 Lu 2.96

[3]
Compound: DyReAsO
Source: the Open Quantum Materials Database
Functional: PBE
Structure: optimized geometry

Calculated values
**E**: -52.752 eV/cell
**Crystal system**: tetragonal

a b c (Å): 4.3281 4.3281 6.7571
angles (deg): 90.00 90.00 90.00
With the nearest neighbours (Å) after each atom.
Atoms (fractional coordinates):
As 0.0000 0.5000 0.2207  1 Re 2.45, 4 O 2.63
As 0.5000 0.0000 0.7793  1 Re 2.45, 4 O 2.63
Dy 0.0000 0.0000 0.5000  4 As 2.87, 4 Dy 3.06
Dy 0.5000 0.5000 0.5000  4 As 2.87, 4 Dy 3.06
O 0.0000 0.0000 0.0000  4 Re 2.37, 4 As 2.63
O 0.5000 0.5000 0.0000  4 Re 2.37, 4 As 2.63
Re 0.5000 0.0000 0.1415  4 O 2.37, 1 As 2.45
Re 0.0000 0.5000 0.8585  4 O 2.37, 1 As 2.45

[4]
Compound: NdGdCu2
Source: the Open Quantum Materials Database
Functional: PBE
Structure: optimized geometry

Calculated values
**E**: -35.396 eV/cell
**Energy of formation**: -212 meV per atom
**Crystal system**: orthorhombic

a b c (Å): 4.5307 5.5222 7.2885
angles (deg): 90.00 90.00 90.00
With the nearest neighbours (Å) after each atom.
Atoms (fractional coordinates):
Cu 0.0000 0.3793 0.0331  2 Cu 2.69, 3 Nd 2.94-2.99
Cu 0.5000 0.8688 0.4682  2 Cu 2.69, 2 Gd 2.89-2.91
Cu 0.0000 0.6207 0.5331  2 Cu 2.69, 3 Nd 2.94-2.99
Cu 0.5000 0.1312 0.9682  2 Cu 2.69, 2 Gd 2.89-2.91
Gd 0.5000 0.3848 0.3187  7 Cu 2.89-3.08
Gd 0.5000 0.6152 0.8187  7 Cu 2.89-3.08
Nd 0.0000 0.8841 0.1799  7 Cu 2.94-3.09
Nd 0.0000 0.1159 0.6799  7 Cu 2.94-3.09

[5]
Compound: PmAsIr
Source: the Open Quantum Materials Database
Functional: PBE
Structure: optimized geometry

Calculated values
**E**: -20.130 eV/cell
**Crystal system**: cubic

a b c (Å): 4.5796 4.5796 4.5796
angles (deg): 60.00 60.00 60.00
With the nearest neighbours (Å) after each atom.
Atoms (fractional coordinates):
As 0.7500 0.7500 0.7500  4 Ir 2.80
Ir 0.0000 0.0000 0.0000  4 As 2.80, 4 Pm 2.80
Pm 0.2500 0.2500 0.2500  4 Ir 2.80

[6]
Compound: NaZrAgTe2Se
Source: the Open Quantum Materials Database
Functional: PBE
Structure: optimized geometry

Calculated values
**E**: -54.433 eV/cell
**Crystal system**: monoclinic

a b c (Å): 8.2106 4.1062 10.1636
angles (deg): 90.00 106.48 90.00
With the nearest neighbours (Å) after each atom.
Atoms (fractional coordinates):
Ag 0.0813 0.2500 0.0971  3 Se 2.72-2.89, 1 Te 2.74, 2 Ag 2.90
Ag 0.9187 0.7500 0.9029  3 Se 2.72-2.89, 1 Te 2.74, 2 Ag 2.90
Na 0.7388 0.7500 0.1836  2 Se 3.12, 2 Te 3.30
Na 0.2612 0.2500 0.8165  2 Se 3.12, 2 Te 3.30
Se 0.2757 0.7500 0.0501  1 Zr 2.65, 3 Ag 2.72-2.89
Se 0.7243 0.2500 0.9499  1 Zr 2.65, 3 Ag 2.72-2.89
Te 0.0739 0.2500 0.3651  1 Ag 2.74, 2 Zr 2.93
Te 0.5745 0.2500 0.3660  3 Zr 2.96-3.09, 2 Na 3.30
Te 0.4255 0.7500 0.6340  3 Zr 2.96-3.09, 2 Na 3.30
Te 0.9261 0.7500 0.6349  1 Ag 2.74, 2 Zr 2.93
Zr 0.3050 0.7500 0.3169  1 Se 2.65, 4 Te 2.93-2.96
Zr 0.6950 0.2500 0.6831  1 Se 2.65, 4 Te 2.93-2.96

[7]
Compound: ScAlOs
Source: the Open Quantum Materials Database
Functional: PBE
Structure: optimized geometry

Calculated values
**E**: -19.729 eV/cell
**Crystal system**: cubic

a b c (Å): 4.3849 4.3849 4.3849
angles (deg): 60.00 60.00 60.00
With the nearest neighbours (Å) after each atom.
Atoms (fractional coordinates):
Al 0.2500 0.2500 0.2500  4 Sc 2.69
Os 0.7500 0.7500 0.7500  4 Sc 2.69
Sc 0.0000 0.0000 0.0000  4 Os 2.69, 4 Al 2.69

[8]
Compound: Zr2ScTe2
Source: the Open Quantum Materials Database
Functional: PBE
Structure: optimized geometry

Calculated values
**E**: -30.996 eV/cell
**Crystal system**: tetragonal

a b c (Å): 5.4884 5.4884 5.8210
angles (deg): 118.13 118.13 90.00
With the nearest neighbours (Å) after each atom.
Atoms (fractional coordinates):
Sc 0.0000 0.0000 0.0000  2 Zr 3.04
Te 0.7500 0.2500 0.5000  4 Zr 2.88
Te 0.2500 0.7500 0.5000  4 Zr 2.88
Zr 0.6492 0.6492 0.2983  1 Zr 2.59, 4 Te 2.88
Zr 0.3508 0.3508 0.7017  1 Zr 2.59, 4 Te 2.88

[9]
Compound: MgZrTlCo
Source: the Open Quantum Materials Database
Functional: PBE
Structure: optimized geometry

Calculated values
**E**: -18.559 eV/cell
**Crystal system**: cubic

a b c (Å): 4.7135 4.7135 4.7135
angles (deg): 60.00 60.00 60.00
With the nearest neighbours (Å) after each atom.
Atoms (fractional coordinates):
Co 0.7500 0.7500 0.7500  4 Mg 2.89, 4 Tl 2.89
Mg 0.5000 0.5000 0.5000  4 Co 2.89, 4 Zr 2.89
Tl 0.0000 0.0000 0.0000  4 Zr 2.89, 4 Co 2.89
Zr 0.2500 0.2500 0.2500  4 Tl 2.89, 4 Mg 2.89

[10]
Compound: AgHgW
Source: the Open Quantum Materials Database
Functional: PBE
Structure: optimized geometry

Calculated values
**E**: -11.719 eV/cell
**Energy of formation**: 1454 meV per atom
**Crystal system**: cubic

a b c (Å): 4.4422 4.4422 4.4422
angles (deg): 60.00 60.00 60.00
With the nearest neighbours (Å) after each atom.
Atoms (fractional coordinates):
Ag 0.0000 0.0000 0.0000  4 Hg 2.72, 4 W 2.72
Hg 0.2500 0.2500 0.2500  4 Ag 2.72
W 0.7500 0.7500 0.7500  4 Ag 2.72

[11]
Compound: Zn2In
Source: the Open Quantum Materials Database
Functional: PBE
Structure: optimized geometry

Calculated values
**E**: -20.046 eV/cell
**Crystal system**: orthorhombic

a b c (Å): 5.0236 10.3086 4.4149
angles (deg): 90.00 90.00 90.00
With the nearest neighbours (Å) after each atom.
Atoms (fractional coordinates):
In 0.9501 0.0000 0.0000  8 Zn 2.99-3.11, 2 In 3.10
In 0.4500 0.5000 0.0000  8 Zn 2.99-3.11, 2 In 3.10
In 0.3834 0.0000 0.5000  8 Zn 2.99-3.11, 2 In 3.10
In 0.8834 0.5000 0.5000  8 Zn 2.99-3.11, 2 In 3.10
Zn 0.5195 0.2005 0.0000  6 Zn 2.64-2.71
Zn 0.0195 0.2995 0.0000  6 Zn 2.64-2.71
Zn 0.0195 0.7005 0.0000  6 Zn 2.64-2.71
Zn 0.5195 0.7994 0.0000  6 Zn 2.64-2.71
Zn 0.8137 0.2005 0.5000  6 Zn 2.64-2.71
Zn 0.3137 0.2995 0.5000  6 Zn 2.64-2.71
Zn 0.3137 0.7005 0.5000  6 Zn 2.64-2.71
Zn 0.8137 0.7995 0.5000  6 Zn 2.64-2.71

[12]
Compound: NaLiUTe3
Source: the Open Quantum Materials Database
Functional: PBE
Structure: optimized geometry

Calculated values
**E**: -57.489 eV/cell
**Crystal system**: orthorhombic

a b c (Å): 7.4698 7.4698 11.5062
angles (deg): 90.00 90.00 145.64
With the nearest neighbours (Å) after each atom.
Atoms (fractional coordinates):
Li 0.4742 0.5258 0.2500  4 Te 2.70
Li 0.5258 0.4742 0.7500  4 Te 2.70
Na 0.7528 0.2472 0.2500  6 Te 3.28-3.45
Na 0.2472 0.7528 0.7500  6 Te 3.28-3.45
Te 0.3610 0.6390 0.0623  1 Li 2.70
Te 0.0831 0.9169 0.2500  2 Li 2.70
Te 0.3610 0.6390 0.4377  1 Li 2.70
Te 0.6390 0.3610 0.5623  1 Li 2.70
Te 0.9169 0.0831 0.7500  2 Li 2.70
Te 0.6390 0.3610 0.9377  1 Li 2.70
U 0.0000 0.0000 0.0000  6 Te 3.05-3.11
U 0.0000 0.0000 0.5000  6 Te 3.05-3.11